Entry from Alexandria via LeMat-Bulk: an optimized crystal structure of LaTlMo2 (GGA-PBE).

total moment: 0.00 μB/cell
relative energy among the computed polymorphs: 671 meV per atom
ΔE_f: 868 meV/atom
E_tot: -25.5 eV/cell

a b c (Å): 2.916 2.916 9.917
angles (deg): 90.00 90.00 90.00
Space group P4/mmm (No. 123)
Unique sites:
La1 0.000 0.000 0.000
Tl1 0.000 0.000 0.500
Mo1 0.500 0.500 0.269



Entry from Alexandria via LeMat-Bulk: an optimized crystal structure of ErPd6Au8 (GGA-PBE).

total moment: 0.00 μB/cell
relative energy among the computed polymorphs: 0 meV per atom
ΔE_f: -204 meV/atom
E_tot: -195.0 eV/cell

a b c (Å): 7.1812 7.1812 17.8988
angles (deg): 90.00 90.00 120.00
Space group R-3 (No. 148, hexagonal axes)
Unique sites:
Er1 0.0000 0.0000 0.0000
Pd1 0.0135 0.2500 0.7093
Au1 0.0000 0.0000 0.4143
Au2 0.0481 0.7907 0.1346